Crystalline Zr3PPd at its relaxed geometry, computed with PBE-GGA.

POSCAR file:
```
Zr3PPd
1.0
-4.007 4.519 -0.812
1.734 -5.558 -1.801
-5.816 -3.965 6.637
Pd Zr P
2 6 2
Direct
0.251 0.749 0.250
0.749 0.251 0.750
0.355 0.645 0.568
0.645 0.355 0.068
0.645 0.355 0.432
0.067 0.933 0.750
0.355 0.645 0.932
0.933 0.067 0.250
0.000 0.000 0.000
0.000 0.000 0.500
```

Values from the calculation:
E	-80.63	eV/cell

***

Crystalline TaFeTe4 at its relaxed geometry, computed with PBE-GGA.

POSCAR file:
```
TaFeTe4
1.0
-0.507 2.475 7.464
0.382 -1.098 7.794
10.528 2.039 -6.285
Ta Te Fe
2 8 2
Direct
0.744 0.744 0.829
0.256 0.256 0.171
0.641 0.641 0.975
0.359 0.359 0.025
0.893 0.893 0.776
0.101 0.101 0.684
0.661 0.661 0.491
0.107 0.107 0.224
0.899 0.899 0.316
0.339 0.339 0.509
0.741 0.741 0.345
0.259 0.259 0.655
```

Values from the calculation:
E	-68.51	eV/cell